Computed, not measured: a relaxed K2ZnPb crystal at the PBE level of DFT.

Its energy of formation from the pure elements is 0.11 eV per atom. The value obtained for the density of states at the Fermi level is 4.3 states/eV per cell.

The space group is I4/mmm (No. 139) and the conventional cell measures 5.0284, 5.0284 and 10.9515 Å, with angles of 90.00, 90.00 and 90.00 degrees. Symmetry generates all atoms from K at (0.0000, 0.5000, 0.2500), Zn at (0.0000, 0.0000, 0.0000) and Pb at (0.0000, 0.0000, 0.5000).